Below is a relaxed ThSiIr4 crystal, with properties calculated at the GGA-PBE level.

## Properties
crystal system: orthorhombic
formation energy without anion corrections: -0.59 eV per atom

a = 7.537 Å, b = 3.927 Å, c = 6.911 Å
α = 90.00°, β = 90.00°, γ = 90.00°
Space group Pmma (No. 51)
Symmetry-distinct sites (fractional):
Th 0.250 0.000 0.132
Si 0.250 0.000 0.710
Ir 0.000 0.000 0.500
Ir 0.056 0.500 0.798
Ir 0.250 0.500 0.448

---

Below is a relaxed Ho3ThGa3 crystal, with properties calculated at the GGA-PBE level.

## Properties
crystal system: hexagonal

a = 9.1805 Å, b = 9.1805 Å, c = 4.8005 Å
α = 90.00°, β = 90.00°, γ = 120.00°
Space group P6_3/m (No. 176)
Symmetry-distinct sites (fractional):
Ho 0.0177 0.7618 0.2500
Th 0.3333 0.6667 0.7500
Ga 0.0644 0.4512 0.2500

---

Below is a relaxed Al2MoCl crystal, with properties calculated at the GGA-PBE level.

## Properties
polymorph energy (0 for the lowest one): 308.7 meV per atom
crystal system: tetragonal
formation energy without anion corrections: -0.05 eV per atom

a = 3.038 Å, b = 3.038 Å, c = 7.659 Å
α = 90.00°, β = 90.00°, γ = 90.00°
Space group P4/mmm (No. 123)
Symmetry-distinct sites (fractional):
Al 0.000 0.000 0.210
Mo 0.500 0.500 0.000
Cl 0.500 0.500 0.500

---

Below is a relaxed Nd7Sm2Ho2 crystal, with properties calculated at the GGA-PBE level.

## Properties
polymorph energy (0 for the lowest one): 24.0 meV per atom
crystal system: monoclinic

a = 10.146 Å, b = 9.427 Å, c = 8.374 Å
α = 90.00°, β = 105.71°, γ = 90.00°
Space group C2/m (No. 12)
Symmetry-distinct sites (fractional):
Nd 0.000 0.000 0.000
Nd 0.202 0.298 0.178
Nd 0.222 0.500 0.530
Sm 0.078 0.500 0.820
Ho 0.000 0.209 0.500

---

Below is a relaxed Sm6Tl2Rh crystal, with properties calculated at the GGA-PBE level.

## Properties
polymorph energy (0 for the lowest one): 0.0 meV per atom
crystal system: orthorhombic

a = 3.869 Å, b = 15.347 Å, c = 8.863 Å
α = 90.00°, β = 90.00°, γ = 90.00°
Space group Amm2 (No. 38)
Symmetry-distinct sites (fractional):
Sm 0.000 0.000 0.000
Sm 0.000 0.120 0.638
Sm 0.500 0.000 0.360
Sm 0.500 0.199 0.958
Tl 0.000 0.167 0.259
Rh 0.500 0.000 0.759

---

no.,spin magnetization (μB/atom),energy (eV per atom)
1,0.000,-8.64
2,0.000,-4.72
3,0.000,-5.09
4,0.000,-4.56
5,0.000,-4.86